{"formula": "ZrGaRuPt", "functional": "GGA-PBE", "state": "optimized geometry", "lattice": [[4.2386, 0.0000, 0.0000], [0.0000, 4.2386, 0.0000], [0.0000, 0.0000, 7.2572]], "species": ["Zr", "Zr", "Ga", "Ga", "Ru", "Ru", "Pt", "Pt"], "fractional_positions": [[0.0000, 0.0000, 0.0000], [0.5000, 0.5000, 0.5000], [0.0000, 0.0000, 0.5000], [0.5000, 0.5000, 0.0000], [0.0000, 0.5000, 0.2500], [0.5000, 0.0000, 0.7500], [0.0000, 0.5000, 0.7500], [0.5000, 0.0000, 0.2500]], "ef_ev_per_atom": -0.729, "polymorph_energy_mev_per_atom": 0}